An optimized crystal structure of NdY2Ga, computed with GGA-PBE.

Structure (extended XYZ):
```
4
Lattice="-4.374 0.280 -1.825 1.037 -3.585 -3.036 -1.557 -3.196 3.242" Properties=species:S:1:pos:R:3 pbc="T T T"
Y -0.779 -1.598 1.621
Y 0.519 -1.793 -1.518
Nd -2.447 -3.251 -0.810
Ga -2.187 0.140 -0.912
```

* offset from the most stable computed form: 0.067 eV per atom
* theoretical density: 5.92 Mg/m³

---

An optimized crystal structure of NdY3Ga2, computed with GGA-PBE.

Structure (extended XYZ):
```
12
Lattice="5.127 0.000 0.000 -2.563 8.899 -0.683 0.000 -4.652 7.594" Properties=species:S:1:pos:R:3 pbc="T T T"
Nd 2.563 2.272 6.559
Nd 0.000 1.975 0.352
Y 0.000 2.689 4.252
Y 2.563 5.036 3.906
Y 2.563 -1.243 5.477
Y 0.000 5.490 1.434
Y 0.000 -0.789 3.005
Y 2.563 1.558 2.660
Ga 2.563 -3.865 6.619
Ga 0.000 8.112 0.293
Ga 2.563 4.108 0.919
Ga 0.000 0.139 5.993
```

* offset from the most stable computed form: 0.086 eV per atom
* theoretical density: 5.54 Mg/m³

---

An optimized crystal structure of Nd3YGa2, computed with GGA-PBE.

Structure (extended XYZ):
```
12
Lattice="5.144 0.000 0.000 0.000 6.694 0.000 0.000 0.000 9.693" Properties=species:S:1:pos:R:3 pbc="T T T"
Nd 0.000 3.211 9.210
Nd 0.000 6.558 0.484
Nd 2.572 4.573 1.698
Nd 2.572 1.226 7.996
Nd 0.000 2.119 3.228
Nd 0.000 5.466 6.465
Y 2.572 3.467 5.378
Y 2.572 0.119 4.316
Ga 2.572 4.745 8.243
Ga 2.572 1.398 1.451
Ga 0.000 1.969 6.275
Ga 0.000 5.316 3.419
```

* offset from the most stable computed form: 0.000 eV per atom
* theoretical density: 6.58 Mg/m³

---

An optimized crystal structure of Nd3YGa3, computed with GGA-PBE.

Structure (extended XYZ):
```
14
Lattice="-0.972 0.237 -4.727 0.725 -9.396 -0.621 -8.349 3.976 1.917" Properties=species:S:1:pos:R:3 pbc="T T T"
Nd -6.347 -4.014 -2.600
Nd -0.707 -2.197 -3.669
Nd -2.033 -8.070 -3.691
Nd -2.250 -1.168 -0.831
Nd -7.889 -2.985 0.238
Nd -6.564 2.887 0.260
Y -2.543 -4.879 -0.957
Y -6.054 -0.304 -2.474
Ga -4.897 -2.661 -0.361
Ga -7.810 0.085 0.376
Ga -3.996 1.309 -0.347
Ga -3.699 -2.522 -3.070
Ga -0.787 -5.268 -3.807
Ga -4.601 -6.492 -3.084
```

* theoretical density: 6.50 Mg/m³

---

no.,formation energy (meV/atom)
1,-232
2,-347
3,-402
4,-385